Here is a relaxed Pm2YUAs4 crystal from the Alexandria database. Energies are from PBE.

```
data_Pm2YUAs4
_symmetry_space_group_name_H-M 'P 1 2/m 1'
_symmetry_Int_Tables_number 10
_cell_length_a 7.2156
_cell_length_b 4.1532
_cell_length_c 7.2223
_cell_angle_alpha 90.00
_cell_angle_beta 109.14
_cell_angle_gamma 90.00
loop_
_symmetry_equiv_pos_as_xyz
'x,y,z'
'-x,-y,-z'
'-x,y,-z'
'x,-y,z'
loop_
_atom_site_label
_atom_site_fract_x
_atom_site_fract_y
_atom_site_fract_z
Pm1 0.0000 0.0000 0.0000
Pm2 0.5000 0.5000 0.0000
Y1 0.0000 0.5000 0.5000
U1 0.5000 0.0000 0.5000
As1 0.2512 0.0000 0.7394
As2 0.2557 0.5000 0.2605
```

Values from the calculation:
DFT formation energy = -1.333 eV per atom
magnetization = 2.3 μB/cell
DOS at the Fermi energy = 1.046 states/eV/atom
electronic total energy = -7.06 eV/atom

---

Here is a relaxed Pm2VAs crystal from the Alexandria database. Energies are from PBE.

```
data_Pm2VAs
_symmetry_space_group_name_H-M 'P 4/m m m'
_symmetry_Int_Tables_number 123
_symmetry_space_group_name_Hall '-P 4 2'
_cell_length_a 4.9777
_cell_length_b 4.9777
_cell_length_c 3.9021
_cell_angle_alpha 90.00
_cell_angle_beta 90.00
_cell_angle_gamma 90.00
loop_
_atom_site_label
_atom_site_fract_x
_atom_site_fract_y
_atom_site_fract_z
Pm1 0.0000 0.5000 0.0000
V1 0.0000 0.0000 0.5000
As1 0.5000 0.5000 0.5000
```

Values from the calculation:
DFT formation energy = -0.271 eV per atom
magnetization = 3.2 μB/cell
DOS at the Fermi energy = 0.682 states/eV/atom
electronic total energy = -6.09 eV/atom

---

Here is a relaxed PmVAs2 crystal from the Alexandria database. Energies are from PBE.

```
data_PmVAs2
_symmetry_space_group_name_H-M 'P 4/m m m'
_symmetry_Int_Tables_number 123
_symmetry_space_group_name_Hall '-P 4 2'
_cell_length_a 3.2545
_cell_length_b 3.2545
_cell_length_c 7.0930
_cell_angle_alpha 90.00
_cell_angle_beta 90.00
_cell_angle_gamma 90.00
loop_
_atom_site_label
_atom_site_fract_x
_atom_site_fract_y
_atom_site_fract_z
Pm1 0.0000 0.0000 0.0000
V1 0.0000 0.0000 0.5000
As1 0.5000 0.5000 0.2997
```

Values from the calculation:
DFT formation energy = -0.517 eV per atom
magnetization = 0.0 μB/cell
polymorph energy (0 for the lowest one) = 0.000 eV/atom
DOS at the Fermi energy = 0.843 states/eV/atom
electronic total energy = -6.31 eV/atom

---

Here is a relaxed PmVAs2 crystal from the Alexandria database. Energies are from PBE.

```
data_PmVAs2
_symmetry_space_group_name_H-M 'R -3 m'
_symmetry_Int_Tables_number 166
_symmetry_space_group_name_Hall '-R 3 2"'
_cell_length_a 4.2622
_cell_length_b 4.2622
_cell_length_c 24.0409
_cell_angle_alpha 90.00
_cell_angle_beta 90.00
_cell_angle_gamma 120.00
loop_
_atom_site_label
_atom_site_fract_x
_atom_site_fract_y
_atom_site_fract_z
Pm1 0.0000 0.0000 0.0000
V1 0.0000 0.0000 0.5000
As1 0.0000 0.0000 0.4015
```

Values from the calculation:
DFT formation energy = 0.093 eV per atom
magnetization = 6.6 μB/cell
polymorph energy (0 for the lowest one) = 0.610 eV/atom
DOS at the Fermi energy = 1.125 states/eV/atom
electronic total energy = -5.70 eV/atom

---

Here is a relaxed PmVAs2 crystal from the Alexandria database. Energies are from PBE.

```
data_PmVAs2
_symmetry_space_group_name_H-M 'F m -3 m'
_symmetry_Int_Tables_number 225
_symmetry_space_group_name_Hall '-F 4 2 3'
_cell_length_a 6.8637
_cell_length_b 6.8637
_cell_length_c 6.8637
_cell_angle_alpha 90.00
_cell_angle_beta 90.00
_cell_angle_gamma 90.00
loop_
_atom_site_label
_atom_site_fract_x
_atom_site_fract_y
_atom_site_fract_z
Pm1 0.0000 0.0000 0.0000
V1 0.0000 0.0000 0.5000
As1 0.2500 0.2500 0.2500
```

Values from the calculation:
DFT formation energy = -0.481 eV per atom
magnetization = 8.2 μB/cell
polymorph energy (0 for the lowest one) = 0.036 eV/atom
DOS at the Fermi energy = 0.401 states/eV/atom
electronic total energy = -6.27 eV/atom

---

Here is a relaxed PmAsW crystal from the Alexandria database. Energies are from PBE.

```
data_PmAsW
_symmetry_space_group_name_H-M 'P -1'
_symmetry_Int_Tables_number 2
_cell_length_a 3.8293
_cell_length_b 4.0749
_cell_length_c 10.6512
_cell_angle_alpha 80.05
_cell_angle_beta 79.66
_cell_angle_gamma 62.15
loop_
_symmetry_equiv_pos_as_xyz
'x,y,z'
'-x,-y,-z'
loop_
_atom_site_label
_atom_site_fract_x
_atom_site_fract_y
_atom_site_fract_z
Pm1 0.1076 0.1445 0.1436
As1 0.2771 0.2596 0.6845
W1 0.3573 0.3528 0.4325
```

Values from the calculation:
DFT formation energy = -0.185 eV per atom
magnetization = 0.0 μB/cell
DOS at the Fermi energy = 0.665 states/eV/atom
electronic total energy = -7.64 eV/atom

---

Here is a relaxed PmYAs2 crystal from the Alexandria database. Energies are from PBE.

```
data_PmYAs2
_symmetry_space_group_name_H-M 'I 41/a m d'
_symmetry_Int_Tables_number 141
_cell_length_a 5.9144
_cell_length_b 5.9144
_cell_length_c 11.8274
_cell_angle_alpha 90.00
_cell_angle_beta 90.00
_cell_angle_gamma 90.00
loop_
_symmetry_equiv_pos_as_xyz
'x,y,z'
'-x,-y,-z'
'-y+1/4,x+3/4,z+1/4'
'y+1/4,-x+3/4,-z+1/4'
'-x+1/2,-y,z+1/2'
'x+1/2,y,-z+1/2'
'y+1/4,-x+1/4,z+3/4'
'-y+1/4,x+1/4,-z+3/4'
'x,-y,-z'
'-x,y,z'
'-y+1/4,-x+1/4,-z+3/4'
'y+1/4,x+1/4,z+3/4'
'-x+1/2,y,-z+1/2'
'x+1/2,-y,z+1/2'
'y+1/4,x+3/4,-z+1/4'
'-y+1/4,-x+3/4,z+1/4'
'x+1/2,y+1/2,z+1/2'
'-x+1/2,-y+1/2,-z+1/2'
'-y+3/4,x+1/4,z+3/4'
'y+3/4,-x+1/4,-z+3/4'
'-x,-y+1/2,z'
'x,y+1/2,-z'
'y+3/4,-x+3/4,z+1/4'
'-y+3/4,x+3/4,-z+1/4'
'x+1/2,-y+1/2,-z+1/2'
'-x+1/2,y+1/2,z+1/2'
'-y+3/4,-x+3/4,-z+1/4'
'y+3/4,x+3/4,z+1/4'
'-x,y+1/2,-z'
'x,-y+1/2,z'
'y+3/4,x+1/4,-z+3/4'
'-y+3/4,-x+1/4,z+3/4'
loop_
_atom_site_label
_atom_site_fract_x
_atom_site_fract_y
_atom_site_fract_z
Pm1 0.0000 0.2500 0.3750
Y1 0.0000 0.2500 0.8750
As1 0.0000 0.2500 0.1224
```

Values from the calculation:
DFT formation energy = -1.537 eV per atom
magnetization = 0.0 μB/cell
polymorph energy (0 for the lowest one) = 0.002 eV/atom
DOS at the Fermi energy = 0.116 states/eV/atom
electronic total energy = -6.67 eV/atom

---

Here is a relaxed PmYAs crystal from the Alexandria database. Energies are from PBE.

```
data_PmYAs
_symmetry_space_group_name_H-M 'P 3 m 1'
_symmetry_Int_Tables_number 156
_cell_length_a 4.0226
_cell_length_b 4.0226
_cell_length_c 6.5947
_cell_angle_alpha 90.00
_cell_angle_beta 90.00
_cell_angle_gamma 120.00
loop_
_symmetry_equiv_pos_as_xyz
'x,y,z'
'-y,x-y,z'
'-x+y,-x,z'
'-y,-x,z'
'-x+y,y,z'
'x,x-y,z'
loop_
_atom_site_label
_atom_site_fract_x
_atom_site_fract_y
_atom_site_fract_z
Pm1 0.0000 0.0000 0.0000
Y1 0.6667 0.3333 0.4822
As1 0.3333 0.6667 0.7328
```

Values from the calculation:
DFT formation energy = -0.872 eV per atom
magnetization = 1.0 μB/cell
polymorph energy (0 for the lowest one) = 0.000 eV/atom
DOS at the Fermi energy = 0.824 states/eV/atom
electronic total energy = -6.16 eV/atom

---

Here is a relaxed PmYAs2 crystal from the Alexandria database. Energies are from PBE.

```
data_PmYAs2
_symmetry_space_group_name_H-M 'R 3 m'
_symmetry_Int_Tables_number 160
_symmetry_space_group_name_Hall 'R 3 -2"'
_cell_length_a 4.1463
_cell_length_b 4.1463
_cell_length_c 21.3357
_cell_angle_alpha 90.00
_cell_angle_beta 90.00
_cell_angle_gamma 120.00
loop_
_atom_site_label
_atom_site_fract_x
_atom_site_fract_y
_atom_site_fract_z
Pm1 0.0000 0.0000 0.0000
Y1 0.0000 0.0000 0.1715
As1 0.0000 0.0000 0.4204
As2 0.0000 0.0000 0.5851
```

Values from the calculation:
DFT formation energy = -1.378 eV per atom
magnetization = 0.0 μB/cell
polymorph energy (0 for the lowest one) = 0.162 eV/atom
DOS at the Fermi energy = 0.090 states/eV/atom
electronic total energy = -6.51 eV/atom

---

Here is a relaxed PmYAs crystal from the Alexandria database. Energies are from PBE.

```
data_PmYAs
_symmetry_space_group_name_H-M 'F -4 3 m'
_symmetry_Int_Tables_number 216
_symmetry_space_group_name_Hall 'F -4 2 3'
_cell_length_a 6.9224
_cell_length_b 6.9224
_cell_length_c 6.9224
_cell_angle_alpha 90.00
_cell_angle_beta 90.00
_cell_angle_gamma 90.00
loop_
_atom_site_label
_atom_site_fract_x
_atom_site_fract_y
_atom_site_fract_z
Pm1 0.0000 0.0000 0.0000
Y1 0.0000 0.0000 0.5000
As1 0.2500 0.2500 0.7500
```

Values from the calculation:
DFT formation energy = -0.809 eV per atom
magnetization = 0.0 μB/cell
polymorph energy (0 for the lowest one) = 0.062 eV/atom
DOS at the Fermi energy = 0.771 states/eV/atom
electronic total energy = -6.10 eV/atom

---

Here is a relaxed PmYAs crystal from the Alexandria database. Energies are from PBE.

```
data_PmYAs
_symmetry_space_group_name_H-M 'C m c m'
_symmetry_Int_Tables_number 63
_symmetry_space_group_name_Hall '-C 2c 2'
_cell_length_a 3.8113
_cell_length_b 22.7265
_cell_length_c 3.7822
_cell_angle_alpha 90.00
_cell_angle_beta 90.00
_cell_angle_gamma 90.00
loop_
_atom_site_label
_atom_site_fract_x
_atom_site_fract_y
_atom_site_fract_z
Pm1 0.0000 0.0671 0.2500
Y1 0.0000 0.2048 0.2500
As1 0.0000 0.3524 0.2500
```

Values from the calculation:
DFT formation energy = -0.698 eV per atom
magnetization = 2.2 μB/cell
polymorph energy (0 for the lowest one) = 0.174 eV/atom
DOS at the Fermi energy = 1.028 states/eV/atom
electronic total energy = -5.99 eV/atom

---

Here is a relaxed PmYAs2 crystal from the Alexandria database. Energies are from PBE.

```
data_PmYAs2
_symmetry_space_group_name_H-M 'R -3 m'
_symmetry_Int_Tables_number 166
_symmetry_space_group_name_Hall '-R 3 2"'
_cell_length_a 4.1851
_cell_length_b 4.1851
_cell_length_c 20.4594
_cell_angle_alpha 90.00
_cell_angle_beta 90.00
_cell_angle_gamma 120.00
loop_
_atom_site_label
_atom_site_fract_x
_atom_site_fract_y
_atom_site_fract_z
Pm1 0.0000 0.0000 0.0000
Y1 0.0000 0.0000 0.5000
As1 0.0000 0.0000 0.2478
```

Values from the calculation:
DFT formation energy = -1.540 eV per atom
magnetization = 0.0 μB/cell
polymorph energy (0 for the lowest one) = 0.000 eV/atom
DOS at the Fermi energy = 0.116 states/eV/atom
electronic total energy = -6.67 eV/atom

---

Repeat the tenth record exactly.
Here is a relaxed PmYAs crystal from the Alexandria database. Energies are from PBE.

```
data_PmYAs
_symmetry_space_group_name_H-M 'F -4 3 m'
_symmetry_Int_Tables_number 216
_symmetry_space_group_name_Hall 'F -4 2 3'
_cell_length_a 6.9224
_cell_length_b 6.9224
_cell_length_c 6.9224
_cell_angle_alpha 90.00
_cell_angle_beta 90.00
_cell_angle_gamma 90.00
loop_
_atom_site_label
_atom_site_fract_x
_atom_site_fract_y
_atom_site_fract_z
Pm1 0.0000 0.0000 0.0000
Y1 0.0000 0.0000 0.5000
As1 0.2500 0.2500 0.7500
```

Values from the calculation:
DFT formation energy = -0.809 eV per atom
magnetization = 0.0 μB/cell
polymorph energy (0 for the lowest one) = 0.062 eV/atom
DOS at the Fermi energy = 0.771 states/eV/atom
electronic total energy = -6.10 eV/atom